No. 1
Compound: Zn
Source: OQMD via LeMat-Bulk
Functional: PBE
Structure: relaxed

Calculated values
- formation energy (kJ per mole of atoms) = 2
- space-group type = Cmcm (63)
- E above lowest polymorph (eV/atom) = 0.0182

Unit cell a=2.635 b=2.692 c=4.621 alpha=90.00 beta=90.00 gamma=60.69
Atoms (fractional coordinates):
Zn 0.845 0.311 0.250
Zn 0.155 0.689 0.750

***

No. 2
Compound: DyScGe
Source: OQMD via LeMat-Bulk
Functional: PBE
Structure: relaxed

Calculated values
- space-group type = F-43m (216)
- E above lowest polymorph (eV/atom) = 0.8676
- spin magnetization (μB/cell) = 0.41

Unit cell a=4.875 b=4.875 c=4.875 alpha=60.00 beta=60.00 gamma=60.00
Atoms (fractional coordinates):
Sc 0.750 0.750 0.750
Ge 0.250 0.250 0.250
Dy 0.000 0.000 0.000

***

No. 3
Compound: Zr2TlC
Source: OQMD via LeMat-Bulk
Functional: PBE
Structure: relaxed

Calculated values
- space-group type = P6_3/mmc (194)
- spin magnetization (μB/cell) = 0.02

Unit cell a=5.871 b=5.871 c=15.486 alpha=100.95 beta=100.95 gamma=60.00
Atoms (fractional coordinates):
C 0.000 0.500 0.000
C 0.667 0.166 0.000
C 0.166 0.667 0.500
C 0.834 0.333 0.500
C 0.333 0.834 0.000
C 0.500 0.000 0.500
Zr 0.194 0.027 0.582
Zr 0.027 0.194 0.082
Zr 0.527 0.361 0.582
Zr 0.473 0.639 0.418
Zr 0.861 0.694 0.582
Zr 0.973 0.806 0.918
Zr 0.306 0.139 0.918
Zr 0.139 0.306 0.418
Zr 0.694 0.861 0.082
Zr 0.361 0.527 0.082
Zr 0.806 0.973 0.418
Zr 0.639 0.473 0.918
Tl 0.250 0.416 0.750
Tl 0.750 0.584 0.250
Tl 0.584 0.750 0.750
Tl 0.917 0.083 0.750
Tl 0.083 0.917 0.250
Tl 0.416 0.250 0.250

***

No. 4
Compound: ErNbCd
Source: OQMD via LeMat-Bulk
Functional: PBE
Structure: relaxed

Calculated values
- formation energy (kJ per mole of atoms) = 101
- space-group type = F-43m (216)
- E above lowest polymorph (eV/atom) = 0.1879
- spin magnetization (μB/cell) = 2.90

Unit cell a=4.876 b=4.876 c=4.876 alpha=60.00 beta=60.00 gamma=60.00
Atoms (fractional coordinates):
Nb 0.750 0.750 0.750
Er 0.000 0.000 0.000
Cd 0.250 0.250 0.250

***

No. 5
Compound: HoNi8P2
Source: OQMD via LeMat-Bulk
Functional: PBE
Structure: relaxed

Calculated values
- space-group type = C2/m (12)
- spin magnetization (μB/cell) = 0.01

Unit cell a=5.672 b=5.672 c=8.528 alpha=124.83 beta=124.83 gamma=37.78
Atoms (fractional coordinates):
Ni 0.818 0.818 0.647
Ni 0.839 0.839 0.368
Ni 0.259 0.259 0.115
Ni 0.741 0.741 0.885
Ni 0.161 0.161 0.632
Ni 0.462 0.462 0.614
Ni 0.538 0.538 0.386
Ni 0.182 0.182 0.353
Ho 0.500 0.500 0.000
P 0.072 0.072 0.800
P 0.928 0.928 0.200

***

No. 6
Compound: YTa2Sn
Source: OQMD via LeMat-Bulk
Functional: PBE
Structure: relaxed

Calculated values
- space-group type = F-43m (216)
- spin magnetization (μB/cell) = 0.01

Unit cell a=4.931 b=4.931 c=4.931 alpha=60.00 beta=60.00 gamma=60.00
Atoms (fractional coordinates):
Ta 0.750 0.750 0.750
Ta 0.000 0.000 0.000
Sn 0.500 0.500 0.500
Y 0.250 0.250 0.250

***

Total DFT energy (no corrections) list, top to bottom, in hartree per atom: -0.046; -0.178; -0.287; -0.152; -0.220; -0.309